Record 1
# Hg3Se4O5

Hg3Se4O5 at its PBEsol-relaxed geometry (SCAN, Alexandria).

abc: 7.5675 7.7836 9.1078
angles: 93.93 109.57 107.77
Sites, in units of the cell vectors:
O1 0.8189 0.5364 0.9748
O2 0.7880 0.8587 0.9280
O3 0.3729 0.2648 0.7820
O4 0.4304 0.4342 0.3093
O5 0.1632 0.3871 0.5389
O6 0.1811 0.4636 0.0252
O7 0.8368 0.6129 0.4611
O8 0.6271 0.7352 0.2180
O9 0.2120 0.1413 0.0720
O10 0.5696 0.5658 0.6907
Se1 0.2354 0.8483 0.3492
Se2 0.3535 0.3628 0.0889
Se3 0.6279 0.6648 0.3915
Se4 0.6465 0.6372 0.9111
Se5 0.2440 0.8123 0.8040
Se6 0.7646 0.1517 0.6508
Se7 0.7560 0.1877 0.1960
Se8 0.3721 0.3352 0.6085
Hg1 0.0112 0.9930 0.7720
Hg2 0.0052 0.4813 0.7203
Hg3 0.9888 0.0070 0.2280
Hg4 0.7041 0.1875 0.9070
Hg5 0.2959 0.8125 0.0930
Hg6 0.9948 0.5187 0.2797

Its uncorrected formation energy is -588 meV/atom. As for the electronic total energy: -646.05 eV per cell. The calculation puts the mass density at 7011 kg/m3.



Record 2
# Hg2SeO3

Hg2SeO3 at its PBEsol-relaxed geometry (SCAN, Alexandria).

abc: 7.7655 8.8797 8.8797
angles: 73.37 64.07 64.07
Sites, in units of the cell vectors:
Hg1 0.3633 0.5594 0.2260
Hg2 0.6486 0.7740 0.4406
Hg3 0.6367 0.4406 0.7740
Hg4 0.8633 0.2260 0.5594
Hg5 0.3514 0.2260 0.5594
Hg6 0.1486 0.4406 0.7740
Hg7 0.1367 0.7740 0.4406
Hg8 0.8514 0.5594 0.2260
O1 0.1118 0.0775 0.3508
O2 0.6730 0.2924 0.3615
O3 0.3270 0.7076 0.6385
O4 0.1730 0.3615 0.2924
O5 0.0402 0.6492 0.9225
O6 0.3882 0.6492 0.9225
O7 0.6118 0.3508 0.0775
O8 0.9598 0.3508 0.0775
O9 0.4598 0.0775 0.3508
O10 0.5402 0.9225 0.6492
O11 0.8270 0.6385 0.7076
O12 0.8882 0.9225 0.6492
Se1 0.8015 0.2332 0.1638
Se2 0.1985 0.7668 0.8362
Se3 0.3015 0.1638 0.2332
Se4 0.6985 0.8362 0.7668

Its uncorrected formation energy is -636 meV/atom. As for the electronic total energy: -715.68 eV per cell. The calculation puts the mass density at 7133 kg/m3.



Record 3
# Hg2SeO3

Hg2SeO3 at its PBEsol-relaxed geometry (SCAN, Alexandria).

abc: 5.0197 9.9319 9.9319
angles: 110.84 90.00 90.00
Sites, in units of the cell vectors:
Hg1 0.4569 0.8704 0.3574
Hg2 0.4766 0.9702 0.8021
Hg3 0.9569 0.3574 0.8704
Hg4 0.9766 0.8021 0.9702
Hg5 0.9766 0.0298 0.1979
Hg6 0.9569 0.1296 0.6426
Hg7 0.4569 0.6426 0.1296
Hg8 0.4766 0.1979 0.0298
O1 0.0716 0.5878 0.8007
O2 0.0716 0.1993 0.4122
O3 0.5716 0.4122 0.1993
O4 0.0096 0.2571 0.1218
O5 0.4885 0.0949 0.5135
O6 0.0096 0.8782 0.7429
O7 0.5096 0.1218 0.2571
O8 0.9885 0.5135 0.0949
O9 0.5716 0.8007 0.5878
O10 0.9885 0.9051 0.4865
O11 0.5096 0.7429 0.8782
O12 0.4885 0.4865 0.9051
Se1 0.9153 0.7824 0.5711
Se2 0.4153 0.5711 0.7824
Se3 0.9153 0.4289 0.2176
Se4 0.4153 0.2176 0.4289

Its uncorrected formation energy is -635 meV/atom. As for the electronic total energy: -715.66 eV per cell. The calculation puts the mass density at 7581 kg/m3.



Record 4
# Hg12Se6O25

Hg12Se6O25 at its PBEsol-relaxed geometry (SCAN, Alexandria).

abc: 9.4852 9.4852 9.4852
angles: 107.70 107.70 107.70
Last column: magnetic moment on the atom in μB.
Sites, in units of the cell vectors:
O1 0.4644 0.1351 0.1404  0.01
O2 0.8649 0.8596 0.5356  0.01
O3 0.5640 0.7431 0.2992  0.01
O4 0.9793 0.5864 0.6555  0.01
O5 0.0000 0.0000 0.0000  1.28
O6 0.5356 0.8649 0.8596  0.01
O7 0.2992 0.5640 0.7431  0.01
O8 0.4360 0.2569 0.7008  0.01
O9 0.8596 0.5356 0.8649  0.01
O10 0.9173 0.7019 0.2207  0.01
O11 0.4136 0.3445 0.0207  0.01
O12 0.2981 0.7793 0.0827  0.01
O13 0.1404 0.4644 0.1351  0.01
O14 0.7008 0.4360 0.2569  0.01
O15 0.1351 0.1404 0.4644  0.01
O16 0.3445 0.0207 0.4136  0.01
O17 0.7793 0.0827 0.2981  0.01
O18 0.2569 0.7008 0.4360  0.01
O19 0.7019 0.2207 0.9173  0.01
O20 0.5864 0.6555 0.9793  0.01
O21 0.0827 0.2981 0.7793  0.01
O22 0.0207 0.4136 0.3445  0.01
O23 0.6555 0.9793 0.5864  0.01
O24 0.7431 0.2992 0.5640  0.01
O25 0.2207 0.9173 0.7019  0.01
Hg1 0.1090 0.7459 0.1541  0.01
Hg2 0.8910 0.2541 0.8459  0.01
Hg3 0.5421 0.0098 0.3259  0.00
Hg4 0.2541 0.8459 0.8910  0.01
Hg5 0.3259 0.5421 0.0098  0.00
Hg6 0.7459 0.1541 0.1090  0.01
Hg7 0.6741 0.4579 0.9902  0.00
Hg8 0.9902 0.6741 0.4579  0.00
Hg9 0.0098 0.3259 0.5421  0.00
Hg10 0.1541 0.1090 0.7459  0.01
Hg11 0.8459 0.8910 0.2541  0.01
Hg12 0.4579 0.9902 0.6741  0.00
Se1 0.5023 0.6632 0.7912  0.00
Se2 0.6632 0.7912 0.5023  0.00
Se3 0.2088 0.4977 0.3368  0.00
Se4 0.3368 0.2088 0.4977  0.00
Se5 0.4977 0.3368 0.2088  0.00
Se6 0.7912 0.5023 0.6632  0.00

Its uncorrected formation energy is -502 meV/atom. As for the electronic total energy: -1115.82 eV per cell. The calculation puts the mass density at 7819 kg/m3.



Record 5
# Hg3Se3O10

Hg3Se3O10 at its PBEsol-relaxed geometry (SCAN, Alexandria).

abc: 5.3427 8.4277 11.1724
angles: 108.04 90.00 90.00
Sites, in units of the cell vectors:
O1 0.4378 0.3496 0.1821
O2 0.4727 0.7436 0.8200
O3 0.4856 0.2753 0.4335
O4 0.9727 0.2564 0.1800
O5 0.9378 0.6504 0.8179
O6 0.9393 0.0166 0.8334
O7 0.5624 0.2452 0.8978
O8 0.5935 0.6190 0.9879
O9 0.3787 0.3991 0.6659
O10 0.0233 0.3359 0.4860
O11 0.0624 0.7548 0.1022
O12 0.5790 0.0277 0.6596
O13 0.4393 0.9834 0.1666
O14 0.4293 0.7322 0.2742
O15 0.0790 0.9723 0.3404
O16 0.8787 0.6009 0.3341
O17 0.0935 0.3810 0.0121
O18 0.9856 0.7247 0.5665
O19 0.5233 0.6641 0.5140
O20 0.9293 0.2678 0.7258
Hg1 0.2632 0.8744 0.7026
Hg2 0.2503 0.4941 0.8721
Hg3 0.7632 0.1256 0.2974
Hg4 0.7517 0.5071 0.6308
Hg5 0.7503 0.5059 0.1279
Hg6 0.2517 0.4929 0.3692
Se1 0.2536 0.8549 0.2168
Se2 0.2172 0.2328 0.0757
Se3 0.7172 0.7672 0.9243
Se4 0.7536 0.1451 0.7832
Se5 0.2694 0.2381 0.5382
Se6 0.7694 0.7619 0.4618

Its uncorrected formation energy is -649 meV/atom. As for the electronic total energy: -674.86 eV per cell. The calculation puts the mass density at 6934 kg/m3.



Record 6
# HgSe2O

HgSe2O at its PBEsol-relaxed geometry (SCAN, Alexandria).

abc: 4.5500 4.5500 4.5500
angles: 60.00 60.00 60.00
Sites, in units of the cell vectors:
O1 0.0000 0.0000 0.0000
Hg1 0.5000 0.5000 0.5000
Se1 0.7500 0.7500 0.7500
Se2 0.2500 0.2500 0.2500

Its uncorrected formation energy is 796 meV/atom. As for the electronic total energy: -111.37 eV per cell. The calculation puts the mass density at 9337 kg/m3.



Record 7
# Hg4Se4O9

Hg4Se4O9 at its PBEsol-relaxed geometry (SCAN, Alexandria).

abc: 9.6689 10.2752 11.8123
angles: 90.00 93.13 90.00
Sites, in units of the cell vectors:
Hg1 0.0404 0.2825 0.5695
Hg2 0.2360 0.2874 0.2812
Hg3 0.7640 0.7126 0.7188
Hg4 0.5404 0.2175 0.0695
Hg5 0.3930 0.0896 0.7600
Hg6 0.8930 0.4104 0.2600
Hg7 0.5428 0.5428 0.2128
Hg8 0.9596 0.7175 0.4305
Hg9 0.0428 0.9572 0.7128
Hg10 0.1070 0.5896 0.7400
Hg11 0.2640 0.7874 0.2188
Hg12 0.7360 0.2126 0.7812
Hg13 0.6070 0.9104 0.2400
Hg14 0.4572 0.4572 0.7872
Hg15 0.9572 0.0428 0.2872
Hg16 0.4596 0.7825 0.9305
O1 0.6980 0.3389 0.9640
O2 0.0360 0.6242 0.2251
O3 0.4247 0.3576 0.3628
O4 0.8020 0.8389 0.5360
O5 0.1014 0.9241 0.4072
O6 0.9640 0.3758 0.7749
O7 0.7387 0.5397 0.1129
O8 0.3020 0.6611 0.0360
O9 0.8655 0.8173 0.2682
O10 0.4640 0.1242 0.2749
O11 0.5360 0.8758 0.7251
O12 0.6345 0.3173 0.2318
O13 0.8369 0.3278 0.4804
O14 0.2827 0.9541 0.8658
O15 0.1631 0.6722 0.5196
O16 0.7827 0.5459 0.3658
O17 0.9247 0.1424 0.8628
O18 0.3369 0.1722 0.9804
O19 0.3655 0.6827 0.7682
O20 0.8751 0.5652 0.5793
O21 0.8986 0.0759 0.5928
O22 0.3751 0.9348 0.0793
O23 0.6014 0.5759 0.9072
O24 0.1345 0.1827 0.7318
O25 0.1980 0.1611 0.4640
O26 0.2173 0.4541 0.6342
O27 0.2613 0.4603 0.8871
O28 0.7173 0.0459 0.1342
O29 0.6631 0.8278 0.0196
O30 0.3986 0.4241 0.0928
O31 0.1249 0.4348 0.4207
O32 0.6249 0.0652 0.9207
O33 0.7613 0.0397 0.3871
O34 0.2387 0.9603 0.6129
O35 0.0753 0.8576 0.1372
O36 0.5753 0.6424 0.6372
Se1 0.5559 0.2428 0.3454
Se2 0.2577 0.0248 0.9999
Se3 0.4775 0.7340 0.3353
Se4 0.2449 0.0007 0.4713
Se5 0.2423 0.5248 0.5001
Se6 0.0225 0.2340 0.1647
Se7 0.7423 0.9752 0.0001
Se8 0.2551 0.5007 0.0287
Se9 0.4441 0.7572 0.6546
Se10 0.9441 0.7428 0.1546
Se11 0.5225 0.2660 0.6647
Se12 0.0559 0.2572 0.8454
Se13 0.9775 0.7660 0.8353
Se14 0.7449 0.4993 0.9713
Se15 0.7577 0.4752 0.4999
Se16 0.7551 0.9993 0.5287

Its uncorrected formation energy is -643 meV/atom. As for the electronic total energy: -1679.96 eV per cell. The calculation puts the mass density at 7155 kg/m3.



Record 8
# Hg3Te2SeO10

Hg3Te2SeO10 at its PBEsol-relaxed geometry (SCAN, Alexandria).

abc: 5.4712 8.5283 11.0169
angles: 109.11 90.00 90.00
Sites, in units of the cell vectors:
Hg1 0.8806 0.9931 0.1118
Hg2 0.4242 0.0067 0.3710
Hg3 0.4251 0.3051 0.7014
Hg4 0.9242 0.9933 0.6290
Hg5 0.3806 0.0069 0.8882
Hg6 0.9251 0.6949 0.2986
O1 0.0926 0.7756 0.7289
O2 0.7237 0.1489 0.5172
O3 0.7464 0.1216 0.9802
O4 0.2372 0.2417 0.0973
O5 0.5926 0.2244 0.2711
O6 0.6180 0.3587 0.8700
O7 0.5439 0.9194 0.6915
O8 0.1081 0.5282 0.8340
O9 0.7217 0.7605 0.4669
O10 0.1180 0.6413 0.1300
O11 0.2464 0.8784 0.0198
O12 0.2483 0.4663 0.3399
O13 0.2237 0.8511 0.4828
O14 0.6081 0.4718 0.1660
O15 0.2217 0.2395 0.5331
O16 0.0928 0.1666 0.8083
O17 0.0439 0.0806 0.3085
O18 0.5928 0.8334 0.1917
O19 0.7483 0.5337 0.6601
O20 0.7372 0.7583 0.9027
Se1 0.9193 0.6485 0.7834
Se2 0.4193 0.3515 0.2166
Te1 0.4361 0.7279 0.5566
Te2 0.9361 0.2721 0.4434
Te3 0.3981 0.6934 0.0500
Te4 0.8981 0.3066 0.9500

Its uncorrected formation energy is -741 meV/atom. As for the electronic total energy: -746.48 eV per cell. The calculation puts the mass density at 7493 kg/m3.



Record 9
# HgTeSe2O

HgTeSe2O at its PBEsol-relaxed geometry (SCAN, Alexandria).

abc: 5.2783 5.2783 5.6107
angles: 90.00 90.00 90.00
Last column: magnetic moment on the atom in μB.
Sites, in units of the cell vectors:
Te1 0.0000 0.0000 0.0000  -0.02
Se1 0.5000 0.0000 0.0000  0.18
Se2 0.0000 0.5000 0.0000  0.18
O1 0.5000 0.5000 0.5000  1.39
Hg1 0.0000 0.0000 0.5000  0.00

Its uncorrected formation energy is 860 meV/atom. As for the electronic total energy: -147.51 eV per cell. The calculation puts the mass density at 5334 kg/m3.



Record 10
# Si3HgO

Si3HgO at its PBEsol-relaxed geometry (SCAN, Alexandria).

abc: 4.9395 4.9395 4.9395
angles: 90.00 90.00 90.00
Last column: magnetic moment on the atom in μB.
Sites, in units of the cell vectors:
O1 0.5000 0.5000 0.5000  0.96
Si1 0.5000 0.0000 0.0000  -0.02
Si2 0.0000 0.5000 0.0000  -0.02
Si3 0.0000 0.0000 0.5000  -0.02
Hg1 0.0000 0.0000 0.0000  0.00

Its uncorrected formation energy is 1847 meV/atom. As for the electronic total energy: -95.21 eV per cell. The calculation puts the mass density at 4145 kg/m3.



Record 11
# SiHg2O

SiHg2O at its PBEsol-relaxed geometry (SCAN, Alexandria).

abc: 6.0704 6.1306 6.0704
angles: 60.32 90.00 119.68
Sites, in units of the cell vectors:
Si1 0.0000 0.0000 0.0000
Si2 0.7500 0.5000 0.7500
Hg1 0.5915 0.7500 0.3750
Hg2 0.1585 0.7500 0.8750
Hg3 0.8750 0.2500 0.5915
Hg4 0.3750 0.2500 0.1585
O1 0.5000 0.0000 0.5000
O2 0.2500 0.5000 0.2500

Its uncorrected formation energy is 222 meV/atom. As for the electronic total energy: -303.38 eV per cell. The calculation puts the mass density at 9168 kg/m3.



Record 12
# SiHgO3

SiHgO3 at its PBEsol-relaxed geometry (SCAN, Alexandria).

abc: 3.6265 3.6265 3.6265
angles: 90.00 90.00 90.00
Sites, in units of the cell vectors:
Hg1 0.5000 0.5000 0.5000
O1 0.5000 0.0000 0.0000
O2 0.0000 0.0000 0.5000
O3 0.0000 0.5000 0.0000
Si1 0.0000 0.0000 0.0000

Its uncorrected formation energy is -1506 meV/atom. As for the electronic total energy: -104.41 eV per cell. The calculation puts the mass density at 9633 kg/m3.



Record 13
# SiHg2O4

SiHg2O4 at its PBEsol-relaxed geometry (SCAN, Alexandria).

abc: 6.2954 6.2954 6.5198
angles: 104.64 104.64 118.45
Sites, in units of the cell vectors:
Hg1 0.5665 0.4335 0.5000
Hg2 0.3165 0.6835 0.0000
Hg3 0.9335 0.0665 0.5000
Hg4 0.6835 0.3165 0.0000
O1 0.8719 0.6828 0.8386
O2 0.2832 0.5942 0.6614
O3 0.9668 0.1558 0.8386
O4 0.9328 0.6219 0.3386
O5 0.4058 0.7168 0.3386
O6 0.3781 0.0672 0.6614
O7 0.8442 0.0332 0.1614
O8 0.3172 0.1281 0.1614
Si1 0.0000 0.0000 0.0000
Si2 0.2500 0.7500 0.5000

Its uncorrected formation energy is -1460 meV/atom. As for the electronic total energy: -362.99 eV per cell. The calculation puts the mass density at 8293 kg/m3.



Record 14
# SnHg3O

SnHg3O at its PBEsol-relaxed geometry (SCAN, Alexandria).

abc: 4.7627 4.7627 4.7627
angles: 90.00 90.00 90.00
Sites, in units of the cell vectors:
Hg1 0.0000 0.5000 0.0000
Hg2 0.5000 0.0000 0.0000
Hg3 0.0000 0.0000 0.5000
Sn1 0.5000 0.5000 0.5000
O1 0.0000 0.0000 0.0000

Its uncorrected formation energy is 331 meV/atom. As for the electronic total energy: -244.99 eV per cell. The calculation puts the mass density at 11320 kg/m3.



Record 15
# Sr3HgO

Sr3HgO at its PBEsol-relaxed geometry (SCAN, Alexandria).

abc: 5.1188 5.1188 5.1188
angles: 90.00 90.00 90.00
Sites, in units of the cell vectors:
O1 0.0000 0.0000 0.0000
Sr1 0.0000 0.0000 0.5000
Sr2 0.0000 0.5000 0.0000
Sr3 0.5000 0.0000 0.0000
Hg1 0.5000 0.5000 0.5000

Its uncorrected formation energy is -1460 meV/atom. As for the electronic total energy: -148.52 eV per cell. The calculation puts the mass density at 5936 kg/m3.



Record 16
# Ta2HgO

Ta2HgO at its PBEsol-relaxed geometry (SCAN, Alexandria).

abc: 4.4346 4.4346 4.4346
angles: 60.00 60.00 60.00
Sites, in units of the cell vectors:
O1 0.0000 0.0000 0.0000
Hg1 0.5000 0.5000 0.5000
Ta1 0.2500 0.2500 0.2500
Ta2 0.7500 0.7500 0.7500

Its uncorrected formation energy is 300 meV/atom. As for the electronic total energy: -206.36 eV per cell. The calculation puts the mass density at 15577 kg/m3.